No. 1
PBE GdZrAlCu, relaxed; Fermi-level density of states = 2.80 states/eV/cell; DFT formation energy = -0.7 eV per formula unit; size of the total moment = 7.9 μB per formula unit
1.0
4.900 0.000 0.000
2.450 4.244 0.000
2.450 1.415 4.001
Gd Zr Al Cu
1 1 1 1
Cartesian
0.000 0.000 0.000 Gd
4.900 2.829 2.001 Zr
7.350 4.244 3.001 Al
2.450 1.415 1.000 Cu



No. 2
PBE Al2Cu2Ge, relaxed; Fermi-level density of states = 2.14 states/eV/cell; DFT formation energy = 0.6 eV per formula unit; size of the total moment = 0.0 μB per formula unit; ΔE to the lowest computed polymorph = 123 meV per atom
1.0
-1.584 1.054 -3.259
-2.921 -2.290 0.679
-4.929 3.586 1.370
Cu Ge Al
2 1 2
Cartesian
-2.819 0.272 -0.727 Cu
-6.615 2.078 -0.483 Cu
0.000 0.000 0.000 Ge
-4.383 2.011 -1.589 Al
-5.051 0.339 0.380 Al



No. 3
PBE Al2Cu2Ge, relaxed; Fermi-level density of states = 2.70 states/eV/cell; DFT formation energy = 0.1 eV per formula unit; size of the total moment = 0.0 μB per formula unit; ΔE to the lowest computed polymorph = 26 meV per atom
1.0
-3.098 2.193 6.560
-6.762 0.553 -3.378
-0.513 -2.551 0.610
Ge Al Cu
2 4 4
Cartesian
-4.930 1.373 1.591 Ge
0.000 0.000 0.000 Ge
-7.001 1.284 -0.521 Al
-6.966 2.251 3.550 Al
-2.894 0.494 -0.368 Al
-2.859 1.461 3.703 Al
-5.129 0.746 4.658 Cu
-2.403 -0.446 1.966 Cu
-5.245 -0.552 -0.865 Cu
-7.971 0.641 1.827 Cu



No. 4
PBE AlCu2Ge2, relaxed; Fermi-level density of states = 2.82 states/eV/cell; DFT formation energy = 0.8 eV per formula unit; size of the total moment = 0.0 μB per formula unit; ΔE to the lowest computed polymorph = 0 meV per atom
1.0
-0.349 -3.056 -6.193
4.556 -4.762 2.093
-2.486 -1.904 1.079
Al Cu Ge
2 4 4
Cartesian
0.000 0.000 0.000 Al
2.104 -3.909 -2.050 Al
1.651 -2.163 -0.013 Cu
3.843 -5.290 -0.479 Cu
2.556 -5.655 -4.087 Cu
0.364 -2.527 -3.621 Cu
1.767 -4.693 0.873 Ge
-0.564 -2.777 -1.115 Ge
2.285 -6.945 -1.905 Ge
-0.046 -5.028 -3.893 Ge



No. 5
PBE AlCuGe3, relaxed; Fermi-level density of states = 2.64 states/eV/cell; DFT formation energy = 4.1 eV per formula unit; size of the total moment = 0.0 μB per formula unit; ΔE to the lowest computed polymorph = 280 meV per atom
1.0
-1.378 -4.562 0.880
4.490 -1.543 -0.969
1.192 0.540 4.666
Cu Ge Al
1 3 1
Cartesian
2.152 -2.783 2.289 Cu
0.596 0.270 2.333 Ge
-0.689 -2.281 0.440 Ge
2.245 -0.772 -0.484 Ge
0.000 0.000 0.000 Al



No. 6
PBE Al2CuGe, relaxed; Fermi-level density of states = 1.91 states/eV/cell; DFT formation energy = 0.1 eV per formula unit; size of the total moment = 0.0 μB per formula unit
1.0
4.063 0.000 0.000
2.031 3.518 0.000
2.031 1.173 4.813
Al Ge Cu
2 1 1
Cartesian
2.031 1.173 0.904 Al
2.031 1.173 3.838 Al
4.063 2.345 2.480 Ge
6.094 3.518 4.810 Cu



No. 7
PBE AlCu2Ge2, relaxed; Fermi-level density of states = 3.30 states/eV/cell; DFT formation energy = 0.9 eV per formula unit; size of the total moment = 0.0 μB per formula unit; ΔE to the lowest computed polymorph = 22 meV per atom
1.0
7.761 0.000 0.000
0.000 7.761 0.000
0.000 0.000 2.654
Al Ge Cu
2 4 4
Cartesian
3.880 3.880 0.000 Al
0.000 0.000 0.000 Al
2.745 6.625 0.000 Ge
5.016 1.135 0.000 Ge
6.625 5.016 0.000 Ge
1.135 2.745 0.000 Ge
2.719 1.162 1.327 Cu
6.599 2.719 1.327 Cu
5.042 6.599 1.327 Cu
1.162 5.042 1.327 Cu



No. 8
PBE AlCu6Ge, relaxed; Fermi-level density of states = 2.55 states/eV/cell; DFT formation energy = -0.6 eV per formula unit; size of the total moment = 0.0 μB per formula unit; ΔE to the lowest computed polymorph = 0 meV per atom
1.0
3.694 0.000 0.000
0.000 5.243 -0.034
0.000 0.032 5.243
Cu Ge Al
6 1 1
Cartesian
0.000 1.346 3.912 Cu
0.000 3.929 1.296 Cu
1.847 0.016 2.621 Cu
1.847 2.621 -0.017 Cu
0.000 3.946 3.896 Cu
0.000 1.328 1.312 Cu
1.847 0.000 0.000 Ge
1.847 2.637 2.604 Al